1.
A plane-wave DFT calculation with PBE-GGA was carried out for a geometry-optimized Ac4Nd2Sm5 structure.

```
data_Ac4Nd2Sm5
_chemical_formula_sum 'Ac4 Nd2 Sm5'
_symmetry_space_group_name_H-M 'P 1'
_symmetry_Int_Tables_number 1
_cell_length_a 9.9448
_cell_length_b 9.9448
_cell_length_c 8.3579
_cell_angle_alpha 103.67
_cell_angle_beta 103.67
_cell_angle_gamma 31.34
loop_
_symmetry_equiv_pos_as_xyz
'x,y,z'
loop_
_atom_site_label
_atom_site_type_symbol
_atom_site_fract_x
_atom_site_fract_y
_atom_site_fract_z
Ac1 Ac 0.0442 0.0442 0.2305
Ac2 Ac 0.3178 0.3178 0.5892
Ac3 Ac 0.6822 0.6822 0.4108
Ac4 Ac 0.9558 0.9558 0.7695
Nd1 Nd 0.4077 0.4077 0.0502
Nd2 Nd 0.5923 0.5923 0.9498
Sm1 Sm 0.1388 0.1388 0.6917
Sm2 Sm 0.2263 0.2263 0.1265
Sm3 Sm 0.5000 0.5000 0.5000
Sm4 Sm 0.7737 0.7737 0.8735
Sm5 Sm 0.8612 0.8612 0.3083
```

Output
energy of formation: 0.04 eV/atom
space group: C2/m (12)

2.
A plane-wave DFT calculation with PBE-GGA was carried out for a geometry-optimized Mg2HgSI structure.

```
data_Mg2HgSI
_chemical_formula_sum 'Mg2 Hg1 S1 I1'
_symmetry_space_group_name_H-M 'P 1'
_symmetry_Int_Tables_number 1
_cell_length_a 5.3430
_cell_length_b 5.3430
_cell_length_c 5.8417
_cell_angle_alpha 90.00
_cell_angle_beta 90.00
_cell_angle_gamma 90.00
loop_
_symmetry_equiv_pos_as_xyz
'x,y,z'
loop_
_atom_site_label
_atom_site_type_symbol
_atom_site_fract_x
_atom_site_fract_y
_atom_site_fract_z
Mg1 Mg 0.0000 0.5000 0.0000
Mg2 Mg 0.5000 0.0000 0.0000
Hg1 Hg 0.0000 0.0000 0.0000
S1 S 0.5000 0.5000 0.5000
I1 I 0.0000 0.0000 0.5000
```

Output
space group: P4/mmm (123)
formation energy without anion corrections: 0.445 eV/atom

no.,ρ (g cm⁻³)
1,7.76
2,4.06